AgBiOF2 after structural relaxation, computed with PBE-GGA.

CIF file:
```
data_AgBiOF2
_chemical_formula_sum 'Ag1 Bi1 O1 F2'
_symmetry_space_group_name_H-M 'P 4/m m m'
_symmetry_Int_Tables_number 123
_symmetry_space_group_name_Hall '-P 4 2'
_cell_length_a 4.583
_cell_length_b 4.583
_cell_length_c 4.497
_cell_angle_alpha 90.00
_cell_angle_beta 90.00
_cell_angle_gamma 90.00
loop_
_atom_site_label
_atom_site_fract_x
_atom_site_fract_y
_atom_site_fract_z
Ag1 0.000 0.000 0.000
Bi1 0.500 0.500 0.500
O1 0.500 0.500 0.000
F1 0.000 0.500 0.500
```

Output
Mass density ... 6.52 g/cm³
Polymorph energy (0 for the lowest one) ... 0 meV/atom
Formation energy without anion corrections ... -1225 meV/atom
Crystal system ... tetragonal
Raw total energy ... -21.56 eV per cell